Density functional theory data (PBE-GGA) for a relaxed structure of ZrSb3As.

Geometry as extended XYZ:
```
5
Lattice="5.243 0.000 0.000 0.000 5.243 0.000 0.000 0.000 5.243" Properties=species:S:1:pos:R:3 pbc="T T T"
Sb 0.000 0.000 2.621
Zr 2.621 2.621 2.621
Sb 2.621 0.000 0.000
As 0.000 0.000 0.000
Sb 0.000 2.621 0.000
```

Summary:
DFT total energy: -4.448 eV/atom
theoretical density: 6123 kg/m3
space group: Pm-3m
energy relative to the lowest polymorph listed for this composition: 81 meV per atom

=====

Density functional theory data (PBE-GGA) for a relaxed structure of ZrSb2As.

Geometry as extended XYZ:
```
4
Lattice="-3.030 1.376 -2.260 -2.571 -2.344 2.020 -0.896 4.245 3.785" Properties=species:S:1:pos:R:3 pbc="T T T"
Sb -0.450 2.134 1.903
Zr -3.024 0.577 0.827
Sb -0.893 4.233 3.774
As -3.472 2.699 2.719
```

Summary:
DFT total energy: -5.537 eV/atom
theoretical density: 7302 kg/m3
space group: P4/mmm

=====

Density functional theory data (PBE-GGA) for a relaxed structure of ZrSbAs4.

Geometry as extended XYZ:
```
6
Lattice="0.000 3.967 3.967 3.967 0.000 3.967 3.967 3.967 0.000" Properties=species:S:1:pos:R:3 pbc="T T T"
As 4.966 4.966 2.967
As 2.967 4.966 4.966
As 4.966 2.967 4.966
Sb 5.950 5.950 5.950
Zr 0.000 0.000 0.000
As 2.967 2.967 2.967
```

Summary:
DFT total energy: -5.046 eV/atom
theoretical density: 6821 kg/m3
space group: F-43m

=====

| no. | E_form (uncorrected) (meV/atom) | total magnetization (μB/cell) |
| --- | --- | --- |
| 1 | 665 | 0.0 |
| 2 | -177 | 0.0 |
| 3 | 166 | 0.0 |